No. 1
DFT (PBE-GGA) results for crystalline Ti2NbAs at its relaxed geometry.

a b c (Å): 7.4629 7.4629 5.1930
angles (deg): 90.00 90.00 90.00
Space group I-42d (No. 122)
Inequivalent atoms, fractional coordinates:
Ti  0.2127  0.2500  0.1250 [8 per cell]
Nb  0.0000  0.0000  0.5000 [4 per cell]
As  0.0000  0.0000  0.0000 [4 per cell]

Summary:
As for the energy of formation from the pure elements: 8 meV per atom.



No. 2
DFT (PBE-GGA) results for crystalline AlCdTe2 at its relaxed geometry.

a b c (Å): 11.3228 3.1408 7.7831
angles (deg): 90.00 113.13 90.00
Space group Cm (No. 8)
Inequivalent atoms, fractional coordinates:
Al  0.0000  0.0000  0.0000 [2 per cell]
Cd  0.2078  0.5000  0.0003 [2 per cell]
Te  0.3040  0.0000  0.7090 [2 per cell]
Te  0.4617  0.0000  0.2917 [2 per cell]

Summary:
For the formation energy from raw total energies, the calculation gives 0.1 eV/f.u. The relative energy among the computed polymorphs comes out at 332 meV per atom.



No. 3
DFT (PBE-GGA) results for crystalline LiCa at its relaxed geometry.

a b c (Å): 9.0587 9.0587 9.0587
angles (deg): 90.00 90.00 90.00
Space group Pm-3n (No. 223)
Inequivalent atoms, fractional coordinates:
Li  0.0000  0.2500  0.5000 [6 per cell]
Ca  0.0000  0.5000  0.2500 [6 per cell]

Summary:
The relative energy among the computed polymorphs comes out at 777 meV per atom. As for the energy of formation from the pure elements: 789 meV per atom.



No. 4
DFT (PBE-GGA) results for crystalline PaGaH at its relaxed geometry.

a b c (Å): 3.1241 3.1241 10.4670
angles (deg): 90.00 90.00 90.00
Space group I4mm (No. 107)
Inequivalent atoms, fractional coordinates:
Pa  0.0000  0.0000  0.0000 [2 per cell]
Ga  0.0000  0.0000  0.2893 [2 per cell]
H  0.0000  0.0000  0.5731 [2 per cell]

Summary:
The relative energy among the computed polymorphs comes out at 437 meV per atom.



Number 1: DOS at the Fermi energy 13.7 states/eV per cell, calculated density 6.05 g/cm³. Number 2: DOS at the Fermi energy 1.8 states/eV per cell, calculated density 5.15 g/cm³. Number 3: DOS at the Fermi energy 14.4 states/eV per cell, calculated density 0.63 g/cm³. Number 4: DOS at the Fermi energy 5.9 states/eV per cell, calculated density 9.81 g/cm³.